1.
Compound: TaBPCl2
Source: Alexandria
Functional: PBE
Structure: relaxed

Values from the calculation:
E_form (uncorrected)   704.3 meV/atom
Total DFT energy (no corrections)   -24.1 eV for the cell shown
Relative energy among the computed polymorphs   0 meV/atom

Cell: 4.800 4.800 4.938 Å, 90.00 90.00 90.00°
Positions (direct):
1 P 0.000 0.000 0.500
2 B 0.500 0.500 0.500
3 Cl 0.000 0.500 0.000
4 Cl 0.500 0.000 0.000
5 Ta 0.000 0.000 0.000

2.
Compound: TaBPCl2
Source: Alexandria
Functional: PBE
Structure: relaxed

Values from the calculation:
E_form (uncorrected)   923.5 meV/atom
Total DFT energy (no corrections)   -23.0 eV for the cell shown
Relative energy among the computed polymorphs   219 meV/atom

Cell: 4.106 4.106 4.553 Å, 90.00 90.00 90.00°
Positions (direct):
1 P 0.000 0.000 0.500
2 B 0.000 0.000 0.000
3 Cl 0.000 0.500 0.000
4 Cl 0.500 0.000 0.000
5 Ta 0.500 0.500 0.500

3.
Compound: TcBP2Cl
Source: Alexandria
Functional: PBE
Structure: relaxed

Values from the calculation:
E_form (uncorrected)   1041.2 meV/atom
Total DFT energy (no corrections)   -24.5 eV for the cell shown
Relative energy among the computed polymorphs   0 meV/atom

Cell: 4.003 4.003 4.320 Å, 90.00 90.00 90.00°
Positions (direct):
1 P 0.000 0.500 0.000
2 P 0.500 0.000 0.000
3 B 0.000 0.000 0.000
4 Tc 0.500 0.500 0.500
5 Cl 0.000 0.000 0.500

4.
Compound: TcBP2Cl
Source: Alexandria
Functional: PBE
Structure: relaxed

Values from the calculation:
E_form (uncorrected)   1158.7 meV/atom
Total DFT energy (no corrections)   -23.9 eV for the cell shown
Relative energy among the computed polymorphs   117 meV/atom

Cell: 4.513 4.513 5.205 Å, 90.00 90.00 90.00°
Positions (direct):
1 P 0.000 0.500 0.000
2 P 0.500 0.000 0.000
3 B 0.500 0.500 0.500
4 Tc 0.000 0.000 0.000
5 Cl 0.000 0.000 0.500

5.
Compound: BTePCl2
Source: Alexandria
Functional: PBE
Structure: relaxed

Values from the calculation:
E_form (uncorrected)   1236.4 meV/atom
Total DFT energy (no corrections)   -12.7 eV for the cell shown
Relative energy among the computed polymorphs   644 meV/atom

Cell: 5.387 5.387 5.053 Å, 90.00 90.00 90.00°
Positions (direct):
1 P 0.000 0.000 0.500
2 B 0.500 0.500 0.500
3 Te 0.000 0.000 0.000
4 Cl 0.000 0.500 0.000
5 Cl 0.500 0.000 0.000

6.
Compound: BTePCl2
Source: Alexandria
Functional: PBE
Structure: relaxed

Values from the calculation:
E_form (uncorrected)   592.9 meV/atom
Total DFT energy (no corrections)   -16.0 eV for the cell shown
Relative energy among the computed polymorphs   0 meV/atom

Cell: 4.278 4.278 4.815 Å, 90.00 90.00 90.00°
Positions (direct):
1 P 0.000 0.000 0.500
2 B 0.000 0.000 0.000
3 Te 0.500 0.500 0.500
4 Cl 0.000 0.500 0.000
5 Cl 0.500 0.000 0.000

7.
Compound: TlBP2Cl
Source: Alexandria
Functional: PBE
Structure: relaxed

Values from the calculation:
E_form (uncorrected)   1792.4 meV/atom
Total DFT energy (no corrections)   -12.7 eV for the cell shown
Relative energy among the computed polymorphs   1310 meV/atom

Cell: 5.176 5.176 5.495 Å, 90.00 90.00 90.00°
Positions (direct):
1 P 0.000 0.500 0.000
2 P 0.500 0.000 0.000
3 Tl 0.000 0.000 0.000
4 B 0.500 0.500 0.500
5 Cl 0.000 0.000 0.500

8.
Compound: TlBPCl2
Source: Alexandria
Functional: PBE
Structure: relaxed

Values from the calculation:
E_form (uncorrected)   1183.4 meV/atom
Total DFT energy (no corrections)   -12.2 eV for the cell shown
Relative energy among the computed polymorphs   965 meV/atom

Cell: 5.436 5.436 5.281 Å, 90.00 90.00 90.00°
Positions (direct):
1 P 0.000 0.000 0.500
2 Tl 0.000 0.000 0.000
3 B 0.500 0.500 0.500
4 Cl 0.000 0.500 0.000
5 Cl 0.500 0.000 0.000

9.
Compound: TlBPCl2
Source: Alexandria
Functional: PBE
Structure: relaxed

Values from the calculation:
E_form (uncorrected)   218.3 meV/atom
Total DFT energy (no corrections)   -17.1 eV for the cell shown
Relative energy among the computed polymorphs   0 meV/atom

Cell: 5.643 5.643 3.552 Å, 90.00 90.00 90.00°
Positions (direct):
1 P 0.000 0.000 0.500
2 Tl 0.500 0.500 0.500
3 B 0.000 0.000 0.000
4 Cl 0.000 0.500 0.000
5 Cl 0.500 0.000 0.000

10.
Compound: TlBP2Cl
Source: Alexandria
Functional: PBE
Structure: relaxed

Values from the calculation:
E_form (uncorrected)   482.2 meV/atom
Total DFT energy (no corrections)   -19.3 eV for the cell shown
Relative energy among the computed polymorphs   0 meV/atom

Cell: 4.046 4.046 7.498 Å, 90.00 90.00 90.00°
Positions (direct):
1 P 0.000 0.500 0.000
2 P 0.500 0.000 0.000
3 Tl 0.500 0.500 0.500
4 B 0.000 0.000 0.000
5 Cl 0.000 0.000 0.500

11.
Compound: VB2PCl
Source: Alexandria
Functional: PBE
Structure: relaxed

Values from the calculation:
E_form (uncorrected)   1061.1 meV/atom
Total DFT energy (no corrections)   -24.4 eV for the cell shown

Cell: 3.773 4.828 3.773 Å, 90.00 90.00 90.00°
Positions (direct):
1 P 0.000 0.000 0.000
2 B 0.000 0.000 0.500
3 B 0.500 0.000 0.000
4 Cl 0.500 0.500 0.500
5 V 0.000 0.500 0.000

12.
Compound: VBPCl2
Source: Alexandria
Functional: PBE
Structure: relaxed

Values from the calculation:
E_form (uncorrected)   728.4 meV/atom
Total DFT energy (no corrections)   -21.3 eV for the cell shown
Relative energy among the computed polymorphs   0 meV/atom

Cell: 4.609 4.609 4.754 Å, 90.00 90.00 90.00°
Positions (direct):
1 P 0.000 0.000 0.500
2 B 0.500 0.500 0.500
3 Cl 0.000 0.500 0.000
4 Cl 0.500 0.000 0.000
5 V 0.000 0.000 0.000

13.
Compound: VBPCl2
Source: Alexandria
Functional: PBE
Structure: relaxed

Values from the calculation:
E_form (uncorrected)   916.8 meV/atom
Total DFT energy (no corrections)   -20.3 eV for the cell shown
Relative energy among the computed polymorphs   188 meV/atom

Cell: 4.160 4.160 4.395 Å, 90.00 90.00 90.00°
Positions (direct):
1 P 0.000 0.000 0.500
2 B 0.000 0.000 0.000
3 Cl 0.000 0.500 0.000
4 Cl 0.500 0.000 0.000
5 V 0.500 0.500 0.500

14.
Compound: BPWCl2
Source: Alexandria
Functional: PBE
Structure: relaxed

Values from the calculation:
E_form (uncorrected)   1091.8 meV/atom
Total DFT energy (no corrections)   -23.3 eV for the cell shown
Relative energy among the computed polymorphs   0 meV/atom

Cell: 4.766 4.766 4.787 Å, 90.00 90.00 90.00°
Positions (direct):
1 P 0.000 0.000 0.500
2 B 0.500 0.500 0.500
3 W 0.000 0.000 0.000
4 Cl 0.000 0.500 0.000
5 Cl 0.500 0.000 0.000

15.
Compound: BPWCl2
Source: Alexandria
Functional: PBE
Structure: relaxed

Values from the calculation:
E_form (uncorrected)   1832.9 meV/atom
Total DFT energy (no corrections)   -19.6 eV for the cell shown
Relative energy among the computed polymorphs   741 meV/atom

Cell: 4.565 4.845 4.565 Å, 90.00 90.00 90.00°
Positions (direct):
1 P 0.000 0.000 0.000
2 B 0.500 0.500 0.500
3 W 0.000 0.500 0.000
4 Cl 0.000 0.000 0.500
5 Cl 0.500 0.000 0.000

16.
Compound: BPWCl2
Source: Alexandria
Functional: PBE
Structure: relaxed

Values from the calculation:
E_form (uncorrected)   1294.7 meV/atom
Total DFT energy (no corrections)   -22.3 eV for the cell shown
Relative energy among the computed polymorphs   203 meV/atom

Cell: 4.123 4.123 4.598 Å, 90.00 90.00 90.00°
Positions (direct):
1 P 0.000 0.000 0.500
2 B 0.000 0.000 0.000
3 W 0.500 0.500 0.500
4 Cl 0.000 0.500 0.000
5 Cl 0.500 0.000 0.000

17.
Compound: YBPCl2
Source: Alexandria
Functional: PBE
Structure: relaxed

Values from the calculation:
E_form (uncorrected)   163.5 meV/atom
Total DFT energy (no corrections)   -21.4 eV for the cell shown
Relative energy among the computed polymorphs   368 meV/atom

Cell: 5.176 5.176 5.657 Å, 90.00 90.00 90.00°
Positions (direct):
1 Y 0.000 0.000 0.000
2 P 0.000 0.000 0.500
3 B 0.500 0.500 0.500
4 Cl 0.000 0.500 0.000
5 Cl 0.500 0.000 0.000

18.
Compound: YBPCl2
Source: Alexandria
Functional: PBE
Structure: relaxed

Values from the calculation:
E_form (uncorrected)   -204.5 meV/atom
Total DFT energy (no corrections)   -23.3 eV for the cell shown
Relative energy among the computed polymorphs   0 meV/atom

Cell: 4.337 4.337 4.681 Å, 90.00 90.00 90.00°
Positions (direct):
1 Y 0.500 0.500 0.500
2 P 0.000 0.000 0.500
3 B 0.000 0.000 0.000
4 Cl 0.000 0.500 0.000
5 Cl 0.500 0.000 0.000

19.
Compound: YBP2Cl
Source: Alexandria
Functional: PBE
Structure: relaxed

Values from the calculation:
E_form (uncorrected)   -130.0 meV/atom
Total DFT energy (no corrections)   -26.5 eV for the cell shown
Relative energy among the computed polymorphs   0 meV/atom

Cell: 4.109 4.109 5.055 Å, 90.00 90.00 90.00°
Positions (direct):
1 Y 0.500 0.500 0.500
2 P 0.000 0.500 0.000
3 P 0.500 0.000 0.000
4 B 0.000 0.000 0.000
5 Cl 0.000 0.000 0.500

20.
Compound: YBP2Cl
Source: Alexandria
Functional: PBE
Structure: relaxed

Values from the calculation:
E_form (uncorrected)   955.4 meV/atom
Total DFT energy (no corrections)   -21.0 eV for the cell shown
Relative energy among the computed polymorphs   1085 meV/atom

Cell: 5.374 5.374 5.207 Å, 90.00 90.00 90.00°
Positions (direct):
1 Y 0.000 0.000 0.000
2 P 0.000 0.500 0.000
3 P 0.500 0.000 0.000
4 B 0.500 0.500 0.500
5 Cl 0.000 0.000 0.500

| no. | magnetic moment (Bohr magnetons per cell) |
| --- | --- |
| 1 | 0.0 |
| 2 | 1.4 |
| 3 | 0.5 |
| 4 | 0.0 |
| 5 | 0.0 |
| 6 | 0.0 |
| 7 | 1.8 |
| 8 | 1.4 |
| 9 | 0.4 |
| 10 | 0.5 |
| 11 | 0.0 |
| 12 | 0.0 |
| 13 | 0.0 |
| 14 | 0.0 |
| 15 | 0.0 |
| 16 | 2.8 |
| 17 | 1.0 |
| 18 | 0.0 |
| 19 | 0.0 |
| 20 | 1.1 |